Ta2VAgO8 | PBE with a Hubbard U | optimized geometry

Unit cell a=6.723 b=6.846 c=6.306 alpha=90.00 beta=92.96 gamma=90.00
Space group C2/m (No. 12)
One atom of each set of equivalent atoms:
Ta: 0.007 0.000 0.247 (multiplicity 4)
V: 0.000 0.500 0.000 (multiplicity 2)
Ag: 0.000 0.500 0.500 (multiplicity 2)
O: 0.000 0.180 0.500 (multiplicity 4)
O: 0.000 0.195 0.000 (multiplicity 4)
O: 0.203 0.500 0.774 (multiplicity 4)
O: 0.212 0.500 0.198 (multiplicity 4)

Raw total energy: -8.213 eV per atom